w | ## H2RhAu (GGA-PBE)

Data for a relaxed structure of H2RhAu.

a = 4.1679 Å, b = 4.1679 Å, c = 5.4894 Å
α = 67.69°, β = 67.69°, γ = 90.00°
Fractional coordinates of all 8 atoms:
Au  0.0000  0.0000  0.0000
Au  0.7500  0.2500  0.5000
H  0.3750  0.4426  0.7500
H  0.5574  0.1250  0.2500
H  0.1926  0.6250  0.2500
H  0.8750  0.8074  0.7500
Rh  0.5000  0.5000  0.0000
Rh  0.2500  0.7500  0.5000

**SG**: No. 122
**Mass density**: 12.5 g/cm3

x | ## H2RhAu (GGA-PBE)

Data for a relaxed structure of H2RhAu.

a = 3.8274 Å, b = 3.8274 Å, c = 3.8274 Å
α = 60.00°, β = 60.00°, γ = 60.00°
Fractional coordinates of all 4 atoms:
Au  0.5000  0.5000  0.5000
Rh  0.0000  0.0000  0.0000
H  0.2500  0.2500  0.2500
H  0.7500  0.7500  0.7500

**SG**: No. 225
**Mass density**: 12.6 g/cm3

Which structure is the least stable? The one labeled x.

w | ## H2RhAu (GGA-PBE)

Data for a relaxed structure of H2RhAu.

a = 2.8906 Å, b = 5.6024 Å, c = 5.0979 Å
α = 90.00°, β = 90.00°, γ = 104.95°
Fractional coordinates of all 8 atoms:
H  0.6811  0.3623  0.4518
Rh  0.2193  0.4386  0.2500
Au  0.0463  0.0927  0.7500
Au  0.9537  0.9073  0.2500
H  0.3189  0.6377  0.9518
H  0.6811  0.3623  0.0482
Rh  0.7807  0.5614  0.7500
H  0.3189  0.6377  0.5482

**SG**: No. 63
**Mass density**: 12.6 g/cm3

x | ## H2RhAu (GGA-PBE)

Data for a relaxed structure of H2RhAu.

a = 2.8255 Å, b = 2.9081 Å, c = 12.1960 Å
α = 90.00°, β = 156.26°, γ = 90.00°
Fractional coordinates of all 4 atoms:
H  0.7841  0.0000  0.5825
Rh  0.2500  0.5000  0.7500
H  0.7159  0.0000  0.9175
Au  0.7500  0.5000  0.2500

**SG**: No. 10
**Mass density**: 12.4 g/cm3

Which structure is the least stable? The one labeled x.

w | ## H2RhAu (GGA-PBE)

Data for a relaxed structure of H2RhAu.

a = 2.9551 Å, b = 2.9551 Å, c = 5.3644 Å
α = 74.01°, β = 74.01°, γ = 60.00°
Fractional coordinates of all 4 atoms:
Rh  0.0000  0.0000  0.0000
Au  0.5000  0.5000  0.5000
H  0.2891  0.2891  0.1326
H  0.7109  0.7109  0.8674

**SG**: No. 166
**Mass density**: 13.0 g/cm3

x | ## H2RhAu (GGA-PBE)

Data for a relaxed structure of H2RhAu.

a = 2.8869 Å, b = 2.8869 Å, c = 5.7657 Å
α = 75.50°, β = 75.50°, γ = 60.00°
Fractional coordinates of all 4 atoms:
Rh  0.6689  0.6689  0.9932
H  0.2889  0.2889  0.1332
H  0.0463  0.0463  0.8612
Au  0.4959  0.4959  0.5124

**SG**: No. 160
**Mass density**: 12.6 g/cm3

Which structure is the least stable? The one labeled w.

w | ## HRhAu3 (GGA-PBE)

Data for a relaxed structure of HRhAu3.

a = 4.1546 Å, b = 4.1546 Å, c = 4.1546 Å
α = 90.00°, β = 90.00°, γ = 90.00°
Fractional coordinates of all 5 atoms:
Au  0.0000  0.5000  0.0000
Au  0.5000  0.0000  0.0000
Au  0.0000  0.0000  0.5000
H  0.0000  0.0000  0.0000
Rh  0.5000  0.5000  0.5000

**SG**: No. 221
**Mass density**: 16.1 g/cm3

x | ## HRhAu3 (GGA-PBE)

Data for a relaxed structure of HRhAu3.

a = 5.0756 Å, b = 5.0756 Å, c = 5.0756 Å
α = 90.00°, β = 90.00°, γ = 90.00°
Fractional coordinates of all 5 atoms:
Au  0.5000  0.0000  0.0000
H  0.5000  0.5000  0.5000
Au  0.0000  0.0000  0.5000
Rh  0.0000  0.0000  0.0000
Au  0.0000  0.5000  0.0000

**SG**: No. 221
**Mass density**: 8.8 g/cm3

Which structure is the least stable? The one labeled x.

w | ## ScHRh2Au (GGA-PBE)

Data for a relaxed structure of ScHRh2Au.

a = 4.0064 Å, b = 4.0064 Å, c = 4.1234 Å
α = 90.00°, β = 90.00°, γ = 90.00°
Fractional coordinates of all 5 atoms:
Rh  0.5000  0.0000  0.0000
Au  0.5000  0.5000  0.5000
Rh  0.0000  0.5000  0.0000
Sc  0.0000  0.0000  0.5000
H  0.0000  0.0000  0.0000

**SG**: No. 123
**Mass density**: 11.3 g/cm3

x | ## ScHRh2Au (GGA-PBE)

Data for a relaxed structure of ScHRh2Au.

a = 4.0812 Å, b = 4.0812 Å, c = 4.0048 Å
α = 90.00°, β = 90.00°, γ = 90.00°
Fractional coordinates of all 5 atoms:
H  0.0000  0.0000  0.0000
Au  0.0000  0.0000  0.5000
Rh  0.5000  0.0000  0.0000
Sc  0.5000  0.5000  0.5000
Rh  0.0000  0.5000  0.0000

**SG**: No. 123
**Mass density**: 11.2 g/cm3

Which structure is the least stable? The one labeled x.

w | ## Te2HRhAu (GGA-PBE)

Data for a relaxed structure of Te2HRhAu.

a = 4.1491 Å, b = 4.7600 Å, c = 5.6054 Å
α = 89.85°, β = 89.93°, γ = 64.03°
Fractional coordinates of all 5 atoms:
Au  0.3452  0.7577  0.0663
Rh  0.2244  0.9973  0.5493
Te  0.6357  0.1754  0.2775
Te  0.9220  0.6031  0.6955
H  0.1840  0.0736  0.8432

**SG**: No. 1
**Mass density**: 9.3 g/cm3

x | ## Te2HRhAu (GGA-PBE)

Data for a relaxed structure of Te2HRhAu.

a = 3.1845 Å, b = 4.1816 Å, c = 7.7405 Å
α = 90.00°, β = 101.85°, γ = 90.00°
Fractional coordinates of all 5 atoms:
Te  0.4124  0.0000  0.2499
H  0.9746  0.5000  0.3753
Rh  0.5176  0.5000  0.4612
Au  0.1015  0.0000  0.6297
Te  0.2119  0.5000  0.8521

**SG**: No. 38
**Mass density**: 9.2 g/cm3

y | ## Te2HRhAu (GGA-PBE)

Data for a relaxed structure of Te2HRhAu.

a = 4.0198 Å, b = 7.2253 Å, c = 3.8045 Å
α = 90.00°, β = 90.00°, γ = 90.00°
Fractional coordinates of all 5 atoms:
Rh  0.0000  0.5000  0.5000
H  0.0000  0.5000  0.0000
Te  0.5000  0.7332  0.5000
Au  0.5000  0.0000  0.0000
Te  0.5000  0.2668  0.5000

**SG**: No. 47
**Mass density**: 8.4 g/cm3

Which structure is the least stable? The one labeled w.

w | ## Te2HRhAu (GGA-PBE)

Data for a relaxed structure of Te2HRhAu.

a = 3.9250 Å, b = 4.6903 Å, c = 6.8033 Å
α = 80.96°, β = 73.27°, γ = 65.28°
Fractional coordinates of all 5 atoms:
Te  0.1256  0.2798  0.1740
Au  0.4921  0.7006  0.0181
H  0.3211  0.7415  0.3215
Te  0.6712  0.7528  0.6108
Rh  0.4289  0.4047  0.4437

**SG**: No. 8
**Mass density**: 8.5 g/cm3

x | ## Te2HRhAu (GGA-PBE)

Data for a relaxed structure of Te2HRhAu.

a = 3.9818 Å, b = 4.4294 Å, c = 6.5260 Å
α = 102.92°, β = 95.49°, γ = 114.07°
Fractional coordinates of all 5 atoms:
H  0.5567  0.1247  0.4978
Rh  0.4629  0.8835  0.6511
Te  0.1982  0.3216  0.8154
Au  0.8559  0.9759  0.0909
Te  0.8059  0.6128  0.3767

**SG**: No. 1
**Mass density**: 9.2 g/cm3

y | ## Te2HRhAu (GGA-PBE)

Data for a relaxed structure of Te2HRhAu.

a = 3.4606 Å, b = 4.3536 Å, c = 7.8313 Å
α = 84.16°, β = 77.45°, γ = 66.89°
Fractional coordinates of all 5 atoms:
H  0.3263  0.3660  0.3290
Rh  0.4261  0.0404  0.4511
Au  0.9783  0.4310  0.9612
Te  0.0463  0.6221  0.6282
Te  0.1026  0.9335  0.1987

**SG**: No. 1
**Mass density**: 8.7 g/cm3

Which structure is the least stable? The one labeled y.

w | ## Te2HRhAu (GGA-PBE)

Data for a relaxed structure of Te2HRhAu.

a = 3.3197 Å, b = 4.7351 Å, c = 6.1155 Å
α = 90.00°, β = 90.00°, γ = 90.00°
Fractional coordinates of all 5 atoms:
H  0.0000  0.5000  0.3427
Rh  0.5000  0.5000  0.4486
Au  0.5000  0.0000  0.7413
Te  0.5000  0.0000  0.2368
Te  0.0000  0.5000  0.7987

**SG**: No. 25
**Mass density**: 9.6 g/cm3

x | ## Te2HRhAu (GGA-PBE)

Data for a relaxed structure of Te2HRhAu.

a = 3.7361 Å, b = 4.4529 Å, c = 7.0800 Å
α = 99.95°, β = 89.98°, γ = 114.84°
Fractional coordinates of all 5 atoms:
Rh  0.8431  0.4460  0.6301
Au  0.4630  0.6858  0.1360
Te  0.5564  0.8721  0.7973
Te  0.2363  0.2324  0.3654
H  0.9827  0.7248  0.5032

**SG**: No. 8
**Mass density**: 8.8 g/cm3

Which structure is the least stable? The one labeled w.

w | ## Te2HRhAu (GGA-PBE)

Data for a relaxed structure of Te2HRhAu.

a = 3.9575 Å, b = 4.4787 Å, c = 6.7032 Å
α = 100.86°, β = 97.15°, γ = 115.40°
Fractional coordinates of all 5 atoms:
Au  0.2893  0.1961  0.4681
H  0.8501  0.9157  0.3075
Te  0.3409  0.4979  0.1488
Rh  0.6607  0.2534  0.8865
Te  0.9138  0.8096  0.7414

**SG**: No. 1
**Mass density**: 9.0 g/cm3

x | ## Te2HRhAu (GGA-PBE)

Data for a relaxed structure of Te2HRhAu.

a = 3.1275 Å, b = 3.9000 Å, c = 8.0377 Å
α = 90.00°, β = 89.94°, γ = 90.00°
Fractional coordinates of all 5 atoms:
Rh  0.5086  0.0000  0.6027
Te  0.5096  0.5000  0.3677
Au  0.5079  0.0000  0.1012
Te  0.5035  0.5000  0.8330
H  0.0092  0.0000  0.5273

**SG**: No. 6
**Mass density**: 9.4 g/cm3

Which structure is the least stable? The one labeled w.

w | ## Te2HRhAu (GGA-PBE)

Data for a relaxed structure of Te2HRhAu.

a = 4.0614 Å, b = 3.3404 Å, c = 16.5983 Å
α = 90.00°, β = 90.00°, γ = 90.00°
Fractional coordinates of all 10 atoms:
Te  0.0000  0.0000  0.3902
Au  0.0000  0.5000  0.0508
Te  0.0000  0.0000  0.1836
Te  0.0000  0.5000  0.8902
Au  0.0000  0.0000  0.5508
Rh  0.5000  0.5000  0.7865
Rh  0.5000  0.0000  0.2865
H  0.5000  0.5000  0.3049
H  0.5000  0.0000  0.8049
Te  0.0000  0.5000  0.6836

**SG**: No. 38
**Mass density**: 8.2 g/cm3

x | ## Te2HRhAu (GGA-PBE)

Data for a relaxed structure of Te2HRhAu.

a = 4.0124 Å, b = 4.3693 Å, c = 6.4865 Å
α = 96.27°, β = 103.43°, γ = 106.64°
Fractional coordinates of all 5 atoms:
Te  0.0108  0.2715  0.4460
Au  0.5683  0.4471  0.1242
Te  0.3592  0.8387  0.8633
Rh  0.6927  0.7148  0.5703
H  0.4079  0.8483  0.4279

**SG**: No. 1
**Mass density**: 8.9 g/cm3

Which structure is the least stable? The one labeled x.

w | ## ZnHRh2Au (GGA-PBE)

Data for a relaxed structure of ZnHRh2Au.

a = 3.9314 Å, b = 3.9314 Å, c = 4.0478 Å
α = 90.00°, β = 90.00°, γ = 90.00°
Fractional coordinates of all 5 atoms:
Au  0.5000  0.5000  0.5000
H  0.0000  0.0000  0.0000
Rh  0.5000  0.0000  0.0000
Rh  0.0000  0.5000  0.0000
Zn  0.0000  0.0000  0.5000

**SG**: No. 123
**Mass density**: 12.5 g/cm3

x | ## ZnHRh2Au (GGA-PBE)

Data for a relaxed structure of ZnHRh2Au.

a = 3.9757 Å, b = 3.9757 Å, c = 4.0004 Å
α = 90.00°, β = 90.00°, γ = 90.00°
Fractional coordinates of all 5 atoms:
Au  0.0000  0.0000  0.5000
Rh  0.5000  0.0000  0.0000
H  0.0000  0.0000  0.0000
Zn  0.5000  0.5000  0.5000
Rh  0.0000  0.5000  0.0000

**SG**: No. 123
**Mass density**: 12.3 g/cm3

Which structure is the least stable? The one labeled x.

w | ## ZrHRh2Au (GGA-PBE)

Data for a relaxed structure of ZrHRh2Au.

a = 4.1749 Å, b = 4.1749 Å, c = 3.9188 Å
α = 90.00°, β = 90.00°, γ = 90.00°
Fractional coordinates of all 5 atoms:
Rh  0.5000  0.0000  0.0000
H  0.0000  0.0000  0.0000
Zr  0.5000  0.5000  0.5000
Au  0.0000  0.0000  0.5000
Rh  0.0000  0.5000  0.0000

**SG**: No. 123
**Mass density**: 12.0 g/cm3

x | ## ZrHRh2Au (GGA-PBE)

Data for a relaxed structure of ZrHRh2Au.

a = 4.0777 Å, b = 4.0777 Å, c = 4.1082 Å
α = 90.00°, β = 90.00°, γ = 90.00°
Fractional coordinates of all 5 atoms:
Rh  0.5000  0.0000  0.0000
Au  0.5000  0.5000  0.5000
Zr  0.0000  0.0000  0.5000
Rh  0.0000  0.5000  0.0000
H  0.0000  0.0000  0.0000

**SG**: No. 123
**Mass density**: 12.0 g/cm3

Which structure is the least stable? The one labeled w.